(1)
# TcS2NCl | Alexandria via LeMat-Bulk | GGA-PBE | optimized geometry
# * Fermi-level density of states: 0.933 states/eV/atom
# * formation energy (no corrections): 1.06 eV per atom
data_TcS2NCl
_cell_length_a 4.540
_cell_length_b 4.540
_cell_length_c 5.088
_cell_angle_alpha 90.00
_cell_angle_beta 90.00
_cell_angle_gamma 90.00
_space_group_name_H-M_alt 'P 4/m m m'
_space_group_IT_number 123
_space_group_name_Hall '-P 4 2'
loop_
_atom_site_label
_atom_site_type_symbol
_atom_site_fract_x
_atom_site_fract_y
_atom_site_fract_z
_atom_site_occupancy
Tc1 Tc 0.000 0.000 0.000 1
S1 S 0.000 0.500 0.000 1
N1 N 0.500 0.500 0.500 1
Cl1 Cl 0.000 0.000 0.500 1

(2)
# TeS2NCl | Alexandria via LeMat-Bulk | GGA-PBE | optimized geometry
# * Fermi-level density of states: 0.306 states/eV/atom
# * formation energy (no corrections): 1.05 eV per atom
data_TeS2NCl
_cell_length_a 4.467
_cell_length_b 4.467
_cell_length_c 4.193
_cell_angle_alpha 90.00
_cell_angle_beta 90.00
_cell_angle_gamma 90.00
_space_group_name_H-M_alt 'P 4/m m m'
_space_group_IT_number 123
_space_group_name_Hall '-P 4 2'
loop_
_atom_site_label
_atom_site_type_symbol
_atom_site_fract_x
_atom_site_fract_y
_atom_site_fract_z
_atom_site_occupancy
Te1 Te 0.000 0.000 0.000 1
S1 S 0.000 0.500 0.500 1
N1 N 0.500 0.500 0.500 1
Cl1 Cl 0.500 0.500 0.000 1